Record 1
# CaGeIrO5

An optimized crystal structure of CaGeIrO5 (GGA-PBE, the Alexandria database).

The crystal system is monoclinic. The raw formation energy is -13.6 eV per formula unit. Its density of states at the Fermi level is 10.8 states/eV/cell. Its final energy is -215.4 eV per cell.

The space group is C2/c (No. 15) and the conventional cell measures 6.790, 9.110 and 7.173 Å, with angles of 90.00, 114.92 and 90.00 degrees. The asymmetric unit holds Ca at (0.000, 0.164, 0.250), Ge at (0.000, 0.188, 0.750), Ir at (0.000, 0.500, 0.000), O at (0.000, 0.420, 0.250), O at (0.115, 0.291, 0.610) and O at (0.184, 0.060, 0.929).

---

Record 2
# Sm4Se3S2

An optimized crystal structure of Sm4Se3S2 (GGA-PBE, the Alexandria database).

The crystal system is monoclinic. For the energy above the lowest structure with this stoichiometry, the calculation gives 0.00 eV per formula unit. The raw formation energy is -16.4 eV per formula unit. Its density of states at the Fermi level is 8.2 states/eV/cell. Its final energy is -108.0 eV per cell.

The space group is C2/m (No. 12) and the conventional cell measures 10.197, 3.881 and 12.215 Å, with angles of 90.00, 97.48 and 90.00 degrees. The asymmetric unit holds Sm at (0.088, 0.000, 0.167), Sm at (0.117, 0.500, 0.619), Se at (0.000, 0.500, 0.000), Se at (0.108, 0.000, 0.413) and S at (0.196, 0.000, 0.780).

---

Record 3
# Li3VGe

An optimized crystal structure of Li3VGe (GGA-PBE, the Alexandria database).

The crystal system is cubic. For the energy above the lowest structure with this stoichiometry, the calculation gives 2.13 eV per formula unit. Its density of states at the Fermi level is 4.4 states/eV/cell. As for the energy of formation: 968 meV per atom. Its final energy is -14.6 eV per cell.

The space group is Pm-3m (No. 221) and the conventional cell measures 4.749, 4.749 and 4.749 Å, with angles of 90.00, 90.00 and 90.00 degrees. The asymmetric unit holds Li at (0.000, 0.000, 0.500), V at (0.000, 0.000, 0.000) and Ge at (0.500, 0.500, 0.500).

---

Record 4
# SrTiFe2Sb

An optimized crystal structure of SrTiFe2Sb (GGA-PBE, the Alexandria database).

The crystal system is tetragonal. The raw formation energy is 3.3 eV per formula unit. Its density of states at the Fermi level is 8.5 states/eV/cell. Its final energy is -27.4 eV per cell.

The space group is P4/mmm (No. 123) and the conventional cell measures 4.533, 4.533 and 5.291 Å, with angles of 90.00, 90.00 and 90.00 degrees. The asymmetric unit holds Sr at (0.000, 0.000, 0.000), Ti at (0.500, 0.500, 0.500), Fe at (0.000, 0.500, 0.500) and Sb at (0.500, 0.500, 0.000).

---

Record 5
# Pr4HoEr2Th

An optimized crystal structure of Pr4HoEr2Th (GGA-PBE, the Alexandria database).

The crystal system is tetragonal. Its density of states at the Fermi level is 15.0 states/eV/cell. As for the energy of formation: 136 meV per atom. Its final energy is -39.2 eV per cell.

The space group is P4/mmm (No. 123) and the conventional cell measures 6.036, 6.036 and 7.391 Å, with angles of 90.00, 90.00 and 90.00 degrees. The asymmetric unit holds Pr at (0.000, 0.500, 0.248), Ho at (0.000, 0.000, 0.500), Er at (0.000, 0.000, 0.000), Er at (0.500, 0.500, 0.500) and Th at (0.500, 0.500, 0.000).

---

Record 6
# Cu2BrCl

An optimized crystal structure of Cu2BrCl (GGA-PBE, the Alexandria database).

The crystal system is monoclinic. For the energy above the lowest structure with this stoichiometry, the calculation gives 0.06 eV per formula unit. The raw formation energy is -1.2 eV per formula unit. Its final energy is -25.7 eV per cell.

The space group is Cm (No. 8) and the conventional cell measures 6.697, 3.855 and 6.873 Å, with angles of 90.00, 90.72 and 90.00 degrees. The asymmetric unit holds Cu at (0.000, 0.000, 0.000), Cu at (0.174, 0.500, 0.232), Br at (0.343, 0.000, 0.385) and Cl at (0.166, 0.500, 0.890).

---

Record 7
# BiPN2

An optimized crystal structure of BiPN2 (GGA-PBE, the Alexandria database).

The crystal system is tetragonal. For the energy above the lowest structure with this stoichiometry, the calculation gives 0.00 eV per formula unit. The raw formation energy is 1.0 eV per formula unit. Its density of states at the Fermi level is 7.0 states/eV/cell. Its final energy is -99.7 eV per cell.

The space group is I4_1/amd (No. 141, origin choice 2) and the conventional cell measures 5.311, 5.311 and 7.529 Å, with angles of 90.00, 90.00 and 90.00 degrees. The asymmetric unit holds Bi at (0.000, 0.250, 0.375), P at (0.000, 0.250, 0.875) and N at (0.000, 0.000, 0.000).

---

Record 8
# MnIrSe2

An optimized crystal structure of MnIrSe2 (GGA-PBE, the Alexandria database).

The crystal system is monoclinic. For the energy above the lowest structure with this stoichiometry, the calculation gives 0.82 eV per formula unit. The raw formation energy is -0.1 eV per formula unit. Its density of states at the Fermi level is 5.3 states/eV/cell. Its final energy is -50.3 eV per cell.

The space group is Cm (No. 8) and the conventional cell measures 7.856, 3.885 and 6.429 Å, with angles of 90.00, 93.87 and 90.00 degrees. The asymmetric unit holds Mn at (0.000, 0.000, 0.000), Ir at (0.224, 0.500, 0.091), Se at (0.023, 0.500, 0.790) and Se at (0.191, 0.000, 0.310).

---

Record 9
# ScAu

An optimized crystal structure of ScAu (GGA-PBE, the Alexandria database).

The crystal system is orthorhombic. Its density of states at the Fermi level is 9.5 states/eV/cell. As for the energy of formation: -668 meV per atom. Its final energy is -65.7 eV per cell.

The space group is Imm2 (No. 44) and the conventional cell measures 3.921, 11.085 and 5.811 Å, with angles of 90.00, 90.00 and 90.00 degrees. The asymmetric unit holds Sc at (0.000, 0.000, 0.000), Sc at (0.000, 0.320, 0.178), Au at (0.000, 0.000, 0.521) and Au at (0.000, 0.360, 0.700).

---

Record 10
# TaAgMo2

An optimized crystal structure of TaAgMo2 (GGA-PBE, the Alexandria database).

The crystal system is tetragonal. For the energy above the lowest structure with this stoichiometry, the calculation gives 3.28 eV per formula unit. Its density of states at the Fermi level is 16.6 states/eV/cell. As for the energy of formation: 991 meV per atom. Its final energy is -129.6 eV per cell.

The space group is I-42d (No. 122) and the conventional cell measures 7.314, 7.314 and 5.459 Å, with angles of 90.00, 90.00 and 90.00 degrees. The asymmetric unit holds Ta at (0.000, 0.000, 0.000), Ag at (0.000, 0.000, 0.500) and Mo at (0.244, 0.250, 0.125).